! HfTaTcRu (PBE-GGA, relaxed); values from VASP
! Calculated formation energy ... -603 meV/atom
&SYSTEM
  ibrav = 0, nat = 4, ntyp = 4
/
ATOMIC_SPECIES
Ru 101.07 Ru.upf
Hf 178.49 Hf.upf
Tc 98.00 Tc.upf
Ta 180.95 Ta.upf
CELL_PARAMETERS angstrom
4.540 0.000 0.000
2.270 3.932 0.000
2.270 1.311 3.707
ATOMIC_POSITIONS angstrom
Ru 6.811 3.932 2.780
Hf 0.000 0.000 0.000
Tc 2.270 1.311 0.927
Ta 4.540 2.621 1.854


! Sc3TlO (PBE-GGA, relaxed); values from VASP
! E_form (uncorrected) ... -1.33 eV/atom
&SYSTEM
  ibrav = 0, nat = 20, ntyp = 3
/
ATOMIC_SPECIES
Sc 44.96 Sc.upf
Tl 204.38 Tl.upf
O 16.00 O.upf
CELL_PARAMETERS angstrom
-13.019 16.584 19.834
-3.727 -2.603 -0.270
5.536 -7.423 -4.854
ATOMIC_POSITIONS angstrom
Sc -2.364 -2.805 2.052
Sc -8.847 9.362 12.658
Sc 0.431 -2.641 0.314
Sc -11.641 9.199 14.396
Sc -3.288 2.233 4.647
Sc -7.923 4.324 10.062
Sc -4.181 -0.256 2.572
Sc -7.029 6.813 12.137
Sc -9.726 6.855 10.555
Sc -1.484 -0.298 4.154
Sc -10.762 11.706 16.498
Sc -0.449 -5.148 -1.789
Tl -6.000 1.970 6.207
Tl -5.211 4.587 8.503
Tl -1.469 0.007 1.013
Tl -9.741 6.551 13.696
O 1.353 -3.770 -1.528
O -12.563 10.328 16.237
O -3.286 -1.676 3.893
O -7.925 8.233 10.816


! Rb2GeBr (PBE-GGA, relaxed); values from VASP
! Distance to the lowest polymorph of the same formula ... 39 meV per atom
! E_form (uncorrected) ... -0.40 eV/atom
&SYSTEM
  ibrav = 0, nat = 8, ntyp = 3
/
ATOMIC_SPECIES
Ge 72.64 Ge.upf
Br 79.90 Br.upf
Rb 85.47 Rb.upf
CELL_PARAMETERS angstrom
-4.362 -4.291 6.824
7.286 1.220 5.425
-0.528 3.087 7.758
ATOMIC_POSITIONS angstrom
Ge 1.462 -1.535 6.124
Ge 4.110 1.386 9.654
Br 0.000 0.000 0.000
Br -1.714 -1.369 10.354
Rb -2.050 -1.858 7.044
Rb 3.979 1.099 6.022
Rb 0.529 1.135 10.284
Rb 2.334 -0.342 16.664


! La4ErTl5 (PBE-GGA, relaxed); values from VASP
! Calculated formation energy ... -407 meV/atom
&SYSTEM
  ibrav = 0, nat = 10, ntyp = 3
/
ATOMIC_SPECIES
La 138.91 La.upf
Er 167.26 Er.upf
Tl 204.38 Tl.upf
CELL_PARAMETERS angstrom
-3.606 -1.324 -0.081
0.846 -2.475 2.815
-5.497 14.108 14.059
ATOMIC_POSITIONS angstrom
La -1.047 2.686 2.676
La -2.180 5.595 5.576
La -3.317 8.512 8.483
La -4.451 11.422 11.382
Er 0.000 0.000 0.000
Tl -1.857 -0.676 2.586
Tl -2.989 2.230 5.482
Tl -4.129 5.154 8.396
Tl -5.268 8.078 11.310
Tl -6.401 10.984 14.206


no.,N(E_F) (states/eV/f.u.)
1,1.8
2,2.2
3,0.0
4,8.7